(1)
The following is a GGA-PBE calculation of a relaxed MoAsHBr2 crystal, from Alexandria.

Summary:
E_tot = -17.7 eV/cell
DOS at the Fermi energy = 0.783 states/eV/atom
energy relative to the lowest polymorph listed for this composition = 317 meV/atom

Unit cell a=5.114 b=5.114 c=3.577 alpha=90.00 beta=90.00 gamma=90.00
Site moments in Bohr magnetons follow the coordinates.
Positions (direct):
Br (0.000, 0.500, 0.000)  -0.02
Br (0.500, 0.000, 0.000)  -0.02
Mo (0.500, 0.500, 0.500)  3.22
As (0.000, 0.000, 0.500)  -0.24
H (0.000, 0.000, 0.000)  -0.02

***

(2)
The following is a GGA-PBE calculation of a relaxed YHoCd2 crystal, from Alexandria.

Summary:
E_tot = -14.2 eV/cell
DOS at the Fermi energy = 1.009 states/eV/atom
formation energy from the elements = -1.348 eV per formula unit
energy relative to the lowest polymorph listed for this composition = 2 meV/atom

Unit cell a=3.761 b=5.273 c=5.273 alpha=90.00 beta=90.00 gamma=90.00
Positions (direct):
Ho (0.500, 0.500, 0.500)
Cd (0.000, 0.500, 0.000)
Cd (0.000, 0.000, 0.500)
Y (0.500, 0.000, 0.000)

***

(3)
The following is a GGA-PBE calculation of a relaxed ZrNbN3 crystal, from Alexandria.

Summary:
E_tot = -195.8 eV/cell
DOS at the Fermi energy = 0.024 states/eV/atom

Unit cell a=3.117 b=5.792 c=12.229 alpha=90.00 beta=90.00 gamma=90.00
Positions (direct):
N (0.750, 0.466, 0.897)
N (0.750, 0.863, 0.216)
N (0.250, 0.870, 0.937)
N (0.250, 0.637, 0.716)
N (0.250, 0.370, 0.563)
N (0.250, 0.534, 0.103)
N (0.750, 0.130, 0.063)
N (0.750, 0.363, 0.284)
N (0.250, 0.137, 0.784)
N (0.750, 0.966, 0.603)
N (0.250, 0.034, 0.397)
N (0.750, 0.630, 0.437)
Zr (0.250, 0.660, 0.298)
Zr (0.750, 0.840, 0.798)
Zr (0.250, 0.160, 0.202)
Zr (0.750, 0.340, 0.702)
Nb (0.250, 0.252, 0.948)
Nb (0.750, 0.248, 0.448)
Nb (0.750, 0.748, 0.052)
Nb (0.250, 0.752, 0.552)

***

(4)
The following is a GGA-PBE calculation of a relaxed PrEr7Hg4 crystal, from Alexandria.

Summary:
E_tot = -39.1 eV/cell
DOS at the Fermi energy = 1.005 states/eV/atom
formation energy from the elements = -1.158 eV per formula unit

Unit cell a=5.675 b=8.913 c=7.813 alpha=70.22 beta=68.71 gamma=71.44
Positions (direct):
Er (0.207, 0.117, 0.468)
Er (0.270, 0.681, 0.779)
Er (0.500, 0.000, 0.000)
Er (0.933, 0.407, 0.727)
Er (0.730, 0.319, 0.221)
Er (0.067, 0.593, 0.273)
Er (0.793, 0.883, 0.532)
Hg (0.310, 0.337, 0.042)
Hg (0.690, 0.663, 0.958)
Hg (0.546, 0.275, 0.633)
Hg (0.454, 0.725, 0.367)
Pr (0.000, 0.000, 0.000)

***

no.,theoretical density (g cm⁻³)
1,5.89
2,7.60
3,6.80
4,10.39